SCAN MoPtRh, single point on PBEsol structure; density of states at the Fermi level = 2.48 states/eV/cell; formation energy from the elements = -312 meV/atom; total DFT energy (no corrections) = -46.596 eV per atom; excess energy over the best structure of this formula in the dataset = 52 meV per atom
1.0
2.723 0.000 0.000
0.000 2.723 0.000
-1.362 -1.362 5.833
Mo Rh Pt
1 1 1
Cartesian
1.362 1.362 5.789 Mo
0.000 0.000 3.965 Rh
1.362 1.362 1.913 Pt